First-principles (GGA-PBE) data for a relaxed CdAsRh2Pb crystal, as listed in the Alexandria database.

a b c (Å): 4.968 4.968 5.306
angles (deg): 90.00 90.00 90.00
Element x y z (fractional)
Cd 0.000 0.000 0.000
As 0.500 0.500 0.500
Rh 0.000 0.500 0.000
Rh 0.500 0.000 0.000
Pb 0.000 0.000 0.500

Results
The symmetry is P4/mmm (123). Its energy is -3.484 eV per atom. The value obtained for the energy of formation from the pure elements is 1.3113 eV/atom.

First-principles (GGA-PBE) data for a relaxed KIrSe2O8 crystal, as listed in the Alexandria database.

a b c (Å): 5.039 5.039 8.537
angles (deg): 90.00 90.00 120.00
Element x y z (fractional)
K 0.000 0.000 0.000
Ir 0.000 0.000 0.500
Se 0.333 0.667 0.704
Se 0.667 0.333 0.296
O 0.016 0.325 0.647
O 0.310 0.984 0.647
O 0.325 0.310 0.353
O 0.333 0.667 0.898
O 0.667 0.333 0.102
O 0.675 0.690 0.647
O 0.690 0.016 0.353
O 0.984 0.675 0.353

Results
The symmetry is P-3 (147). Its energy is -5.505 eV per atom.

First-principles (GGA-PBE) data for a relaxed RbUAu2I8 crystal, as listed in the Alexandria database.

a b c (Å): 7.170 8.444 11.029
angles (deg): 110.50 90.71 106.70
Element x y z (fractional)
Rb 0.000 0.000 0.000
U 0.000 0.000 0.500
Au 0.159 0.417 0.751
Au 0.841 0.583 0.249
I 0.156 0.692 0.425
I 0.282 0.165 0.356
I 0.309 0.146 0.729
I 0.335 0.734 0.932
I 0.665 0.266 0.068
I 0.691 0.854 0.271
I 0.718 0.835 0.644
I 0.844 0.308 0.575

Results
The symmetry is P-1 (2). Its energy is -3.235 eV per atom.

First-principles (GGA-PBE) data for a relaxed Dy4SnBiSe2 crystal, as listed in the Alexandria database.

a b c (Å): 7.367 4.275 7.414
angles (deg): 90.00 109.51 90.00
Element x y z (fractional)
Dy 0.238 0.000 0.239
Dy 0.242 0.500 0.753
Dy 0.758 0.500 0.247
Dy 0.762 0.000 0.761
Sn 0.500 0.000 0.000
Bi 0.500 0.500 0.500
Se 0.000 0.000 0.500
Se 0.000 0.500 0.000

Results
The symmetry is P2/m (10). Its energy is -5.417 eV per atom.

First-principles (GGA-PBE) data for a relaxed Tl4AuCl2 crystal, as listed in the Alexandria database.

a b c (Å): 5.606 5.606 16.274
angles (deg): 90.00 90.00 90.00
Element x y z (fractional)
Tl 0.000 0.000 0.179
Tl 0.000 0.000 0.821
Tl 0.000 0.500 0.000
Tl 0.000 0.500 0.500
Tl 0.500 0.000 0.000
Tl 0.500 0.000 0.500
Tl 0.500 0.500 0.321
Tl 0.500 0.500 0.679
Au 0.000 0.000 0.000
Au 0.500 0.500 0.500
Cl 0.000 0.000 0.365
Cl 0.000 0.000 0.635
Cl 0.500 0.500 0.135
Cl 0.500 0.500 0.865

Results
The symmetry is I4/mmm (139). Its energy is -2.747 eV per atom.